{"formula": "K3CoF8", "functional": "PBE+U", "state": "optimized geometry", "cell": [[-2.942, 2.942, 5.725], [2.942, -2.942, 5.725], [2.942, 2.942, -5.725]], "species": ["K", "K", "K", "Co", "F", "F", "F", "F", "F", "F", "F", "F"], "frac_coords": [[0.000, 0.000, 0.000], [0.250, 0.750, 0.500], [0.750, 0.250, 0.500], [0.500, 0.500, 0.000], [0.195, 0.195, 0.596], [0.195, 0.598, 0.000], [0.402, 0.402, 0.596], [0.402, 0.805, 0.000], [0.598, 0.195, 0.000], [0.598, 0.598, 0.404], [0.805, 0.402, 0.000], [0.805, 0.805, 0.404]], "vol_a3_per_cell": 198, "de_polymorph_ev_per_atom": 0.1581, "rho_g_cm3": 2.75, "n_ef_per_ev_atom": 0.733}